1.
# Ho2GeRu2 | the Alexandria database | PBE-GGA | relaxed
data_Ho2GeRu2
_cell_length_a 4.001
_cell_length_b 5.795
_cell_length_c 8.587
_cell_angle_alpha 90.00
_cell_angle_beta 90.00
_cell_angle_gamma 90.00
_symmetry_space_group_name_H-M 'I m m m'
_symmetry_Int_Tables_number 71
_symmetry_space_group_name_Hall '-I 2 2'
loop_
_atom_site_label
_atom_site_type_symbol
_atom_site_fract_x
_atom_site_fract_y
_atom_site_fract_z
_atom_site_occupancy
Ho1 Ho 0.000 0.000 0.207 1
Ge1 Ge 0.000 0.500 0.000 1
Ru1 Ru 0.000 0.273 0.500 1
# DFT total energy	-6.995	eV per atom
# energy of formation	-2.65	eV per formula unit

2.
# Nd8In2Pb | the Alexandria database | PBE-GGA | relaxed
data_Nd8In2Pb
_cell_length_a 17.672
_cell_length_b 5.045
_cell_length_c 8.336
_cell_angle_alpha 90.00
_cell_angle_beta 110.63
_cell_angle_gamma 90.00
_symmetry_space_group_name_H-M 'C 1 2/m 1'
_symmetry_Int_Tables_number 12
_symmetry_space_group_name_Hall '-C 2y'
loop_
_atom_site_label
_atom_site_type_symbol
_atom_site_fract_x
_atom_site_fract_y
_atom_site_fract_z
_atom_site_occupancy
Nd1 Nd 0.054 0.000 0.231 1
Nd2 Nd 0.097 0.500 0.951 1
Nd3 Nd 0.145 0.000 0.709 1
Nd4 Nd 0.179 0.500 0.435 1
In1 In 0.223 0.000 0.150 1
Pb1 Pb 0.000 0.500 0.500 1
# DFT total energy	-4.579	eV per atom
# energy of formation	-3.04	eV per formula unit

3.
# Y2ScRu | the Alexandria database | PBE-GGA | relaxed
data_Y2ScRu
_cell_length_a 7.127
_cell_length_b 7.127
_cell_length_c 7.127
_cell_angle_alpha 90.00
_cell_angle_beta 90.00
_cell_angle_gamma 90.00
_symmetry_space_group_name_H-M 'F -4 3 m'
_symmetry_Int_Tables_number 216
_symmetry_space_group_name_Hall 'F -4 2 3'
loop_
_atom_site_label
_atom_site_type_symbol
_atom_site_fract_x
_atom_site_fract_y
_atom_site_fract_z
_atom_site_occupancy
Y1 Y 0.000 0.000 0.000 1
Y2 Y 0.250 0.250 0.250 1
Sc1 Sc 0.250 0.250 0.750 1
Ru1 Ru 0.000 0.000 0.500 1
# DFT total energy	-7.080	eV per atom
# energy of formation	0.22	eV per formula unit

4.
# Sc2VSiPd | the Alexandria database | PBE-GGA | relaxed
data_Sc2VSiPd
_cell_length_a 4.915
_cell_length_b 4.915
_cell_length_c 4.411
_cell_angle_alpha 90.00
_cell_angle_beta 90.00
_cell_angle_gamma 90.00
_symmetry_space_group_name_H-M 'P 4/m m m'
_symmetry_Int_Tables_number 123
_symmetry_space_group_name_Hall '-P 4 2'
loop_
_atom_site_label
_atom_site_type_symbol
_atom_site_fract_x
_atom_site_fract_y
_atom_site_fract_z
_atom_site_occupancy
Sc1 Sc 0.000 0.500 0.000 1
V1 V 0.000 0.000 0.500 1
Si1 Si 0.000 0.000 0.000 1
Pd1 Pd 0.500 0.500 0.500 1
# formation energy (no corrections)	0.247	eV/atom
# DFT total energy	-6.233	eV per atom

5.
# MnAg3Au4 | the Alexandria database | PBE-GGA | relaxed
data_MnAg3Au4
_cell_length_a 5.947
_cell_length_b 5.953
_cell_length_c 8.481
_cell_angle_alpha 90.00
_cell_angle_beta 110.28
_cell_angle_gamma 90.00
_symmetry_space_group_name_H-M 'C 1 2/m 1'
_symmetry_Int_Tables_number 12
_symmetry_space_group_name_Hall '-C 2y'
loop_
_atom_site_label
_atom_site_type_symbol
_atom_site_fract_x
_atom_site_fract_y
_atom_site_fract_z
_atom_site_occupancy
Mn1 Mn 0.000 0.000 0.000 1
Ag1 Ag 0.000 0.500 0.000 1
Ag2 Ag 0.249 0.500 0.498 1
Au1 Au 0.129 0.250 0.758 1
# DFT total energy	-3.890	eV per atom
# energy of formation	-0.29	eV per formula unit

6.
# NpTc2C | the Alexandria database | PBE-GGA | relaxed
data_NpTc2C
_cell_length_a 2.9269
_cell_length_b 2.9269
_cell_length_c 23.1928
_cell_angle_alpha 90.00
_cell_angle_beta 90.00
_cell_angle_gamma 120.00
_symmetry_space_group_name_H-M 'R -3 m'
_symmetry_Int_Tables_number 166
_symmetry_space_group_name_Hall '-R 3 2"'
loop_
_atom_site_label
_atom_site_type_symbol
_atom_site_fract_x
_atom_site_fract_y
_atom_site_fract_z
_atom_site_occupancy
Np1 Np 0.0000 0.0000 0.0000 1
Tc1 Tc 0.0000 0.0000 0.2198 1
C1 C 0.0000 0.0000 0.5000 1
# DFT total energy	-10.435	eV per atom
# energy of formation	1.15	eV per formula unit

7.
# LaCdGa | the Alexandria database | PBE-GGA | relaxed
data_LaCdGa
_cell_length_a 10.599
_cell_length_b 4.768
_cell_length_c 6.949
_cell_angle_alpha 90.00
_cell_angle_beta 116.71
_cell_angle_gamma 90.00
_symmetry_space_group_name_H-M 'C 1 m 1'
_symmetry_Int_Tables_number 8
_symmetry_space_group_name_Hall 'C -2y'
loop_
_atom_site_label
_atom_site_type_symbol
_atom_site_fract_x
_atom_site_fract_y
_atom_site_fract_z
_atom_site_occupancy
La1 La 0.000 0.000 0.000 1
La2 La 0.237 0.500 0.420 1
Cd1 Cd 0.102 0.000 0.599 1
Cd2 Cd 0.359 0.000 0.189 1
Ga1 Ga 0.195 0.500 0.939 1
Ga2 Ga 0.434 0.000 0.649 1
# DFT total energy	-3.313	eV per atom
# energy of formation	-1.07	eV per formula unit

8.
# Nd2Sn3IrRh4 | the Alexandria database | PBE-GGA | relaxed
data_Nd2Sn3IrRh4
_cell_length_a 4.397
_cell_length_b 4.397
_cell_length_c 10.855
_cell_angle_alpha 90.00
_cell_angle_beta 90.00
_cell_angle_gamma 90.00
_symmetry_space_group_name_H-M 'P -4 m 2'
_symmetry_Int_Tables_number 115
_symmetry_space_group_name_Hall 'P -4 -2'
loop_
_atom_site_label
_atom_site_type_symbol
_atom_site_fract_x
_atom_site_fract_y
_atom_site_fract_z
_atom_site_occupancy
Nd1 Nd 0.000 0.500 0.246 1
Sn1 Sn 0.000 0.000 0.000 1
Sn2 Sn 0.000 0.500 0.632 1
Ir1 Ir 0.500 0.500 0.000 1
Rh1 Rh 0.000 0.000 0.500 1
Rh2 Rh 0.000 0.500 0.871 1
Rh3 Rh 0.500 0.500 0.500 1
# DFT total energy	-6.568	eV per atom
# energy of formation	-5.87	eV per formula unit

9.
# Al4OsRu | the Alexandria database | PBE-GGA | relaxed
data_Al4OsRu
_cell_length_a 6.978
_cell_length_b 6.978
_cell_length_c 6.978
_cell_angle_alpha 90.00
_cell_angle_beta 90.00
_cell_angle_gamma 90.00
_symmetry_space_group_name_H-M 'F -4 3 m'
_symmetry_Int_Tables_number 216
_symmetry_space_group_name_Hall 'F -4 2 3'
loop_
_atom_site_label
_atom_site_type_symbol
_atom_site_fract_x
_atom_site_fract_y
_atom_site_fract_z
_atom_site_occupancy
Al1 Al 0.125 0.125 0.125 1
Os1 Os 0.250 0.250 0.750 1
Ru1 Ru 0.000 0.000 0.500 1
# DFT total energy	-5.817	eV per atom
# energy of formation	0.58	eV per formula unit

10.
# Zr2AgRh | the Alexandria database | PBE-GGA | relaxed
data_Zr2AgRh
_cell_length_a 4.072
_cell_length_b 4.072
_cell_length_c 9.109
_cell_angle_alpha 90.00
_cell_angle_beta 90.00
_cell_angle_gamma 90.00
_symmetry_space_group_name_H-M 'I -4 m 2'
_symmetry_Int_Tables_number 119
_symmetry_space_group_name_Hall 'I -4 -2'
loop_
_atom_site_label
_atom_site_type_symbol
_atom_site_fract_x
_atom_site_fract_y
_atom_site_fract_z
_atom_site_occupancy
Zr1 Zr 0.000 0.000 0.000 1
Zr2 Zr 0.000 0.500 0.250 1
Ag1 Ag 0.000 0.500 0.750 1
Rh1 Rh 0.000 0.000 0.500 1
# DFT total energy	-7.057	eV per atom
# energy of formation	-0.93	eV per formula unit

11.
# LiErAgSn | the Alexandria database | PBE-GGA | relaxed
data_LiErAgSn
_cell_length_a 7.039
_cell_length_b 7.039
_cell_length_c 7.039
_cell_angle_alpha 90.00
_cell_angle_beta 90.00
_cell_angle_gamma 90.00
_symmetry_space_group_name_H-M 'F -4 3 m'
_symmetry_Int_Tables_number 216
_symmetry_space_group_name_Hall 'F -4 2 3'
loop_
_atom_site_label
_atom_site_type_symbol
_atom_site_fract_x
_atom_site_fract_y
_atom_site_fract_z
_atom_site_occupancy
Li1 Li 0.000 0.000 0.000 1
Er1 Er 0.000 0.000 0.500 1
Ag1 Ag 0.250 0.250 0.750 1
Sn1 Sn 0.250 0.250 0.250 1
# DFT total energy	-3.768	eV per atom
# energy of formation	-1.74	eV per formula unit

12.
# NaLiSnCl6 | the Alexandria database | PBE-GGA | relaxed
data_NaLiSnCl6
_cell_length_a 6.5355
_cell_length_b 6.5355
_cell_length_c 12.4449
_cell_angle_alpha 90.00
_cell_angle_beta 90.00
_cell_angle_gamma 120.00
_symmetry_space_group_name_H-M 'P -3 1 c'
_symmetry_Int_Tables_number 163
_symmetry_space_group_name_Hall '-P 3 2c'
loop_
_atom_site_label
_atom_site_type_symbol
_atom_site_fract_x
_atom_site_fract_y
_atom_site_fract_z
_atom_site_occupancy
Na1 Na 0.0000 0.0000 0.0000 1
Li1 Li 0.3333 0.6667 0.2500 1
Sn1 Sn 0.3333 0.6667 0.7500 1
Cl1 Cl 0.0124 0.3667 0.6361 1
# formation energy (no corrections)	-1.331	eV/atom
# DFT total energy	-3.366	eV per atom